First-principles (GGA-PBE) data for crystalline NdDyAg2 at its relaxed geometry, as listed in OQMD.

Results
The calculation puts the final energy at -4.056 eV per atom. The space-group type is P4/mmm. The value obtained for the offset from the most stable computed form is 0 meV per atom. For the spin magnetization, the calculation gives 0.0280 μB/atom.

Structure (extended XYZ):
```
4
Lattice="3.6477 0.0000 0.0000 0.0000 3.6477 0.0000 0.0000 0.0000 7.4889" Properties=species:S:1:pos:R:3 pbc="T T T"
Nd 0.0000 0.0000 0.0000
Dy 0.0000 0.0000 3.7445
Ag 1.8238 1.8238 2.0166
Ag 1.8238 1.8238 5.4723
```